1.
The following is a PBE-GGA calculation of Sm2Ga3Ag after structural relaxation, from Alexandria.

Output
E_form: -0.574 eV per atom
E_tot: -4.14 eV/atom

abc: 5.785 5.785 7.390
angles: 128.93 128.93 46.47
Element x y z (fractional)
Sm1 0.000 0.000 0.000
Sm2 0.069 0.069 0.573
Ga1 0.370 0.370 0.574
Ga2 0.375 0.375 0.174
Ga3 0.697 0.697 0.407
Ag1 0.702 0.702 0.004


2.
The following is a PBE-GGA calculation of ScNi7B2 after structural relaxation, from Alexandria.

Output
E_form: -0.125 eV per atom
E_tot: -6.14 eV/atom

abc: 5.788 5.788 3.899
angles: 90.00 90.00 113.64
Element x y z (fractional)
Sc1 0.000 0.000 0.000
Ni1 0.060 0.327 0.500
Ni2 0.324 0.676 0.000
Ni3 0.327 0.060 0.500
Ni4 0.500 0.500 0.500
Ni5 0.673 0.940 0.500
Ni6 0.676 0.324 0.000
Ni7 0.940 0.673 0.500
B1 0.293 0.707 0.500
B2 0.707 0.293 0.500


3.
The following is a PBE-GGA calculation of TlCr3Pb after structural relaxation, from Alexandria.

Output
E_form: 1.395 eV per atom
E_tot: -5.59 eV/atom

abc: 5.193 5.193 5.193
angles: 90.00 90.00 90.00
Element x y z (fractional)
Tl1 0.000 0.000 0.000
Cr1 0.000 0.000 0.500
Cr2 0.000 0.500 0.000
Cr3 0.500 0.000 0.000
Pb1 0.500 0.500 0.500